# 1
## Sc2MnMo (PBE-GGA)

Data for a relaxed structure of Sc2MnMo.

Output
* excess energy over the best structure of this formula in the dataset: 0.2075 eV per atom
* formation enthalpy at 0 K: 0.91 eV/f.u.
* space-group type: Cmmm
* N(E_F): 1.37 states/eV/atom

Lattice parameters (Å, degrees): 2.9485 2.9485 8.2924 90.00 90.00 98.19
With the nearest neighbours (Å) after each atom.
Atoms (fractional coordinates):
Mn1 0.5000 0.5000 0.2500  8 Sc 2.74-2.96, 4 Mn 2.95
Sc1 0.0000 0.0000 0.4841  4 Mn 2.74-2.96, 2 Mo 2.93, 4 Sc 2.95
Sc2 0.0000 0.0000 0.0159  4 Mn 2.74-2.96, 2 Mo 2.93, 4 Sc 2.95
Mo1 0.5000 0.5000 0.7500  8 Sc 2.93-3.13, 4 Mo 2.95



# 2
## Ho2Tm3Sc2 (PBE-GGA)

Data for a relaxed structure of Ho2Tm3Sc2.

Output
* excess energy over the best structure of this formula in the dataset: 0.0158 eV per atom
* formation enthalpy at 0 K: 1.62 eV/f.u.
* space-group type: I2_13
* N(E_F): 1.28 states/eV/atom

Lattice parameters (Å, degrees): 8.1318 8.1318 8.1318 109.47 109.47 109.47
With the nearest neighbours (Å) after each atom.
Atoms (fractional coordinates):
Tm1 0.2500 0.9342 0.1842  4 Sc 3.13-3.14, 2 Ho 3.41
Tm2 0.0658 0.3158 0.2500  4 Sc 3.13-3.14, 2 Ho 3.41
Tm3 0.6842 0.7500 0.9342  4 Sc 3.13-3.14, 2 Ho 3.41
Tm4 0.8158 0.2500 0.5658  4 Sc 3.13-3.14, 2 Ho 3.41
Tm5 0.7500 0.5658 0.3158  4 Sc 3.13-3.14, 2 Ho 3.41
Tm6 0.4342 0.1842 0.7500  4 Sc 3.13-3.14, 2 Ho 3.41
Ho1 0.3031 0.5000 0.0000  1 Sc 3.30, 3 Ho 3.39, 6 Tm 3.41-3.58
Ho2 0.1969 0.6969 0.6969  1 Sc 3.30, 3 Ho 3.39, 6 Tm 3.41-3.58
Ho3 0.0000 0.0000 0.8031  1 Sc 3.30, 3 Ho 3.39, 6 Tm 3.41-3.58
Ho4 0.5000 0.8031 0.5000  1 Sc 3.30, 3 Ho 3.39, 6 Tm 3.41-3.58
Sc1 0.0000 0.0000 0.3975  6 Tm 3.13-3.14, 1 Ho 3.30
Sc2 0.5000 0.3975 0.5000  6 Tm 3.13-3.14, 1 Ho 3.30
Sc3 0.6025 0.1025 0.1025  6 Tm 3.13-3.14, 1 Ho 3.30
Sc4 0.8975 0.5000 0.0000  6 Tm 3.13-3.14, 1 Ho 3.30



# 3
## NpH4Pt (PBE-GGA)

Data for a relaxed structure of NpH4Pt.

Output
* space-group type: Cmcm
* N(E_F): 1.50 states/eV/atom
* raw total energy: -5.585 eV/atom

Lattice parameters (Å, degrees): 3.7190 5.1841 6.3177 90.00 107.12 90.00
With the nearest neighbours (Å) after each atom.
Atoms (fractional coordinates):
Np1 0.6365 0.2500 0.2730  6 H 2.35-2.41
Np2 0.3635 0.7500 0.7270  6 H 2.35-2.41
H1 0.0000 0.5000 0.0000  2 Pt 1.77
H2 0.4083 0.2500 0.8166  2 Pt 1.86
H3 0.5917 0.7500 0.1834  2 Pt 1.86
H4 0.8005 0.9836 0.6009  1 Pt 1.83
H5 0.0000 0.0000 0.0000  2 Pt 1.77
H6 0.8005 0.5164 0.6009  1 Pt 1.83
H7 0.1995 0.0164 0.3991  1 Pt 1.83
H8 0.1995 0.4836 0.3991  1 Pt 1.83
Pt1 0.0998 0.7500 0.1996  6 H 1.77-1.86
Pt2 0.9002 0.2500 0.8004  6 H 1.77-1.86



# 4
## MgHg2Pb (PBE-GGA)

Data for a relaxed structure of MgHg2Pb.

Output
* formation enthalpy at 0 K: -0.09 eV/f.u.
* space-group type: Pmm2
* N(E_F): 0.43 states/eV/atom

Lattice parameters (Å, degrees): 3.7559 4.3028 6.3544 90.00 90.00 90.00
With the nearest neighbours (Å) after each atom.
Atoms (fractional coordinates):
Hg1 0.0000 0.0000 0.0101  1 Mg 2.97, 4 Hg 3.27, 4 Pb 3.30
Hg2 0.5000 0.5000 0.2616  2 Pb 3.11-3.25, 4 Mg 3.17, 4 Hg 3.27
Mg1 0.0000 0.0000 0.4776  5 Hg 2.97-3.17
Pb1 0.5000 0.5000 0.7507  6 Hg 3.11-3.30, 4 Mg 3.34



# 5
## UMo2H (PBE-GGA)

Data for a relaxed structure of UMo2H.

Output
* space-group type: R-3m
* N(E_F): 1.78 states/eV/atom
* raw total energy: -8.762 eV/atom

Lattice parameters (Å, degrees): 2.8768 2.8768 7.9317 79.55 79.55 60.00
With the nearest neighbours (Å) after each atom.
Atoms (fractional coordinates):
H1 0.5000 0.5000 0.5000  6 Mo 2.03
Mo1 0.7829 0.7829 0.6514  3 H 2.03
Mo2 0.2171 0.2171 0.3486  3 H 2.03
U1 0.0000 0.0000 0.0000  6 U 2.88, 6 Mo 3.17



# 6
## KBa2NaP (PBE-GGA)

Data for a relaxed structure of KBa2NaP.

Output
* excess energy over the best structure of this formula in the dataset: 0.0340 eV per atom
* formation enthalpy at 0 K: -1.64 eV/f.u.
* space-group type: P4/mmm
* N(E_F): 0.70 states/eV/atom

Lattice parameters (Å, degrees): 6.4054 6.4054 5.9388 90.00 90.00 90.00
With the nearest neighbours (Å) after each atom.
Atoms (fractional coordinates):
Ba1 0.0000 0.5000 0.0000  2 P 3.20
Ba2 0.5000 0.0000 0.0000  2 P 3.20
K1 0.5000 0.5000 0.5000  8 Ba 4.37, 4 Na 4.53
Na1 0.0000 0.0000 0.5000  2 P 2.97
P1 0.0000 0.0000 0.0000  2 Na 2.97, 4 Ba 3.20



# 7
## NbFeCo2 (PBE-GGA)

Data for a relaxed structure of NbFeCo2.

Output
* excess energy over the best structure of this formula in the dataset: 0.8603 eV per atom
* formation enthalpy at 0 K: 3.04 eV/f.u.
* space-group type: Pmma
* N(E_F): 1.22 states/eV/atom

Lattice parameters (Å, degrees): 7.1756 4.8681 7.1658 90.00 90.00 90.00
With the nearest neighbours (Å) after each atom.
Atoms (fractional coordinates):
Fe1 0.0000 0.7500 0.7012  3 Nb 2.45-2.65, 4 Co 2.46-2.61
Fe2 0.5000 0.7500 0.7610  4 Co 2.16-2.23
Fe3 0.0000 0.2500 0.2988  3 Nb 2.45-2.65, 4 Co 2.46-2.61
Fe4 0.5000 0.2500 0.2390  4 Co 2.16-2.23
Co1 0.2654 0.7500 0.9497  1 Fe 2.16, 2 Co 2.29, 1 Nb 2.34
Co2 0.0000 0.0000 0.0000  6 Co 2.29-2.43, 2 Fe 2.46
Co3 0.2654 0.2500 0.0503  1 Fe 2.16, 2 Co 2.29, 1 Nb 2.34
Co4 0.5000 0.5000 0.5000  2 Fe 2.23, 2 Co 2.43
Co5 0.7346 0.7500 0.9497  1 Fe 2.16, 2 Co 2.29, 1 Nb 2.34
Co6 0.7346 0.2500 0.0503  1 Fe 2.16, 2 Co 2.29, 1 Nb 2.34
Co7 0.0000 0.5000 0.0000  6 Co 2.29-2.43, 2 Fe 2.46
Co8 0.5000 0.0000 0.5000  2 Fe 2.23, 2 Co 2.43
Nb1 0.0000 0.7500 0.3311  3 Fe 2.45-2.65, 2 Co 2.67
Nb2 0.0000 0.2500 0.6689  3 Fe 2.45-2.65, 2 Co 2.67
Nb3 0.5000 0.2500 0.8234  4 Co 2.34-2.62, 2 Fe 2.47
Nb4 0.5000 0.7500 0.1766  4 Co 2.34-2.62, 2 Fe 2.47



# 8
## In2SiAu (PBE-GGA)

Data for a relaxed structure of In2SiAu.

Output
* formation energy without anion corrections: 0.220 eV per atom
* space-group type: I-4m2
* N(E_F): 0.53 states/eV/atom

Lattice parameters (Å, degrees): 5.9062 5.9062 5.9062 139.35 139.35 58.84
With the nearest neighbours (Å) after each atom.
Atoms (fractional coordinates):
Si1 0.5000 0.5000 0.0000  4 In 2.90
In1 0.2500 0.7500 0.5000  4 Au 2.90
In2 0.0000 0.0000 0.0000  4 Si 2.90
Au1 0.7500 0.2500 0.5000  4 In 2.90



# 9
## Li2FeNi (PBE-GGA)

Data for a relaxed structure of Li2FeNi.

Output
* formation enthalpy at 0 K: 1.46 eV/f.u.
* space-group type: P4/mmm
* N(E_F): 0.83 states/eV/atom

Lattice parameters (Å, degrees): 4.2823 4.2823 2.6136 90.00 90.00 90.00
With the nearest neighbours (Å) after each atom.
Atoms (fractional coordinates):
Ni1 0.5000 0.0000 0.5000  8 Li 2.51, 2 Ni 2.61
Li1 0.5000 0.5000 0.0000  4 Fe 2.51, 4 Ni 2.51, 2 Li 2.61
Li2 0.0000 0.0000 0.0000  4 Fe 2.51, 4 Ni 2.51, 2 Li 2.61
Fe1 0.0000 0.5000 0.5000  8 Li 2.51, 2 Fe 2.61



# 10
## LiPr3Hg2 (PBE-GGA)

Data for a relaxed structure of LiPr3Hg2.

Output
* excess energy over the best structure of this formula in the dataset: 0.0000 eV per atom
* formation enthalpy at 0 K: -1.88 eV/f.u.
* space-group type: Cmmm
* N(E_F): 1.18 states/eV/atom

Lattice parameters (Å, degrees): 3.9368 5.3619 8.5614 108.25 90.00 90.00
With the nearest neighbours (Å) after each atom.
Atoms (fractional coordinates):
Pr1 0.5000 0.8303 0.6606  6 Hg 3.33-3.43, 2 Li 3.39
Pr2 0.5000 0.1697 0.3394  6 Hg 3.33-3.43, 2 Li 3.39
Pr3 0.5000 0.5000 0.0000  4 Hg 3.23, 4 Li 3.33
Hg1 0.0000 0.6578 0.3155  8 Pr 3.23-3.43
Hg2 0.0000 0.3422 0.6845  8 Pr 3.23-3.43
Li1 0.0000 0.0000 0.0000  8 Pr 3.33-3.39, 4 Hg 3.71



# 11
## Na3MnZn (PBE-GGA)

Data for a relaxed structure of Na3MnZn.

Output
* excess energy over the best structure of this formula in the dataset: 0.0000 eV per atom
* formation enthalpy at 0 K: 3.51 eV/f.u.
* space-group type: Pm-3m
* N(E_F): 0.68 states/eV/atom

Lattice parameters (Å, degrees): 5.5016 5.5016 5.5016 90.00 90.00 90.00
With the nearest neighbours (Å) after each atom.
Atoms (fractional coordinates):
Na1 0.5000 0.0000 0.0000  2 Zn 2.75
Na2 0.0000 0.0000 0.5000  2 Zn 2.75
Na3 0.0000 0.5000 0.0000  2 Zn 2.75
Mn1 0.5000 0.5000 0.5000  12 Na 3.89
Zn1 0.0000 0.0000 0.0000  6 Na 2.75



# 12
## Rb2CuSbBr6 (PBE-GGA)

Data for a relaxed structure of Rb2CuSbBr6.

Output
* formation energy without anion corrections: -0.991 eV per atom
* space-group type: Fm-3m

Lattice parameters (Å, degrees): 7.7656 7.7656 7.7656 60.00 60.00 60.00
With the nearest neighbours (Å) after each atom.
Atoms (fractional coordinates):
Br1 0.2580 0.7420 0.2580  1 Cu 2.66, 1 Sb 2.83
Br2 0.2580 0.2580 0.7420  1 Cu 2.66, 1 Sb 2.83
Br3 0.2580 0.7420 0.7420  1 Cu 2.66, 1 Sb 2.83
Br4 0.7420 0.2580 0.2580  1 Cu 2.66, 1 Sb 2.83
Br5 0.7420 0.7420 0.2580  1 Cu 2.66, 1 Sb 2.83
Br6 0.7420 0.2580 0.7420  1 Cu 2.66, 1 Sb 2.83
Cu1 0.5000 0.5000 0.5000  6 Br 2.66
Rb1 0.7500 0.7500 0.7500  12 Br 3.88
Rb2 0.2500 0.2500 0.2500  12 Br 3.88
Sb1 0.0000 0.0000 0.0000  6 Br 2.83



# 13
## Tl3Co (PBE-GGA)

Data for a relaxed structure of Tl3Co.

Output
* formation enthalpy at 0 K: 2.52 eV/f.u.
* space-group type: Pm-3n
* N(E_F): 2.08 states/eV/atom

Lattice parameters (Å, degrees): 5.8118 5.8118 5.8118 90.00 90.00 90.00
With the nearest neighbours (Å) after each atom.
Atoms (fractional coordinates):
Tl1 0.5000 0.0000 0.7500  2 Tl 2.91, 4 Co 3.25
Tl2 0.0000 0.2500 0.5000  2 Tl 2.91, 4 Co 3.25
Tl3 0.2500 0.5000 0.0000  2 Tl 2.91, 4 Co 3.25
Tl4 0.7500 0.5000 0.0000  2 Tl 2.91, 4 Co 3.25
Tl5 0.5000 0.0000 0.2500  2 Tl 2.91, 4 Co 3.25
Tl6 0.0000 0.7500 0.5000  2 Tl 2.91, 4 Co 3.25
Co1 0.5000 0.5000 0.5000  12 Tl 3.25
Co2 0.0000 0.0000 0.0000  12 Tl 3.25



# 14
## Zn4Ni5 (PBE-GGA)

Data for a relaxed structure of Zn4Ni5.

Output
* excess energy over the best structure of this formula in the dataset: 0.0407 eV per atom
* formation enthalpy at 0 K: -1.09 eV/f.u.
* space-group type: P6_3/mcm
* N(E_F): 0.63 states/eV/atom

Lattice parameters (Å, degrees): 7.1490 7.1490 4.9432 90.00 90.00 60.00
With the nearest neighbours (Å) after each atom.
Atoms (fractional coordinates):
Ni1 0.6882 0.3118 0.7500  7 Zn 2.35-2.55
Ni2 0.0000 0.3118 0.2500  7 Zn 2.35-2.55
Ni3 0.3118 0.0000 0.7500  7 Zn 2.35-2.55
Ni4 0.6667 0.6667 0.5000  8 Ni 2.47-2.76, 6 Zn 2.61
Ni5 0.6882 0.0000 0.2500  7 Zn 2.35-2.55
Ni6 0.3118 0.6882 0.2500  7 Zn 2.35-2.55
Ni7 0.3333 0.3333 0.0000  8 Ni 2.47-2.76, 6 Zn 2.61
Ni8 0.3333 0.3333 0.5000  8 Ni 2.47-2.76, 6 Zn 2.61
Ni9 0.6667 0.6667 0.0000  8 Ni 2.47-2.76, 6 Zn 2.61
Ni10 0.0000 0.6882 0.7500  7 Zn 2.35-2.55
Zn1 0.0000 0.3589 0.7500  9 Ni 2.35-2.61
Zn2 0.0000 0.6411 0.2500  9 Ni 2.35-2.61
Zn3 0.3589 0.0000 0.2500  9 Ni 2.35-2.61
Zn4 0.0000 0.0000 0.5000  2 Zn 2.47, 6 Ni 2.55
Zn5 0.0000 0.0000 0.0000  2 Zn 2.47, 6 Ni 2.55
Zn6 0.6411 0.0000 0.7500  9 Ni 2.35-2.61
Zn7 0.6411 0.3589 0.2500  9 Ni 2.35-2.61
Zn8 0.3589 0.6411 0.7500  9 Ni 2.35-2.61



# 15
## YSi2Hg (PBE-GGA)

Data for a relaxed structure of YSi2Hg.

Output
* formation energy without anion corrections: -0.111 eV per atom
* space-group type: R3m
* N(E_F): 0.84 states/eV/atom

Lattice parameters (Å, degrees): 7.7582 7.7582 7.7582 28.31 28.31 28.31
With the nearest neighbours (Å) after each atom.
Atoms (fractional coordinates):
Y1 0.5140 0.5140 0.5140  3 Si 2.90, 3 Hg 3.15
Si1 0.2660 0.2660 0.2660  3 Si 2.38
Si2 0.9742 0.9742 0.9742  3 Si 2.38
Hg1 0.7457 0.7457 0.7457  3 Y 3.15, 3 Si 3.21



# 16
## Pr5ThSn4 (PBE-GGA)

Data for a relaxed structure of Pr5ThSn4.

Output
* formation enthalpy at 0 K: -5.09 eV/f.u.
* space-group type: C2/m
* N(E_F): 0.67 states/eV/atom

Lattice parameters (Å, degrees): 5.5416 7.2779 11.3410 129.05 104.14 90.00
With the nearest neighbours (Å) after each atom.
Atoms (fractional coordinates):
Pr1 0.8341 0.1598 0.6682  5 Sn 3.24-3.37, 1 Pr 3.53
Pr2 0.1659 0.8402 0.3318  5 Sn 3.24-3.37, 1 Pr 3.53
Pr3 0.1667 0.3274 0.3334  5 Sn 3.22-3.44, 1 Pr 3.53
Pr4 0.5000 0.5000 0.0000  6 Sn 3.32-3.47, 2 Th 3.64
Pr5 0.8333 0.6726 0.6666  5 Sn 3.22-3.44, 1 Pr 3.53
Sn1 0.6746 0.1003 0.3491  7 Pr 3.24-3.47, 1 Th 3.41
Sn2 0.3254 0.8998 0.6509  7 Pr 3.24-3.47, 1 Th 3.41
Sn3 0.9921 0.7346 0.9842  6 Pr 3.22-3.44, 2 Th 3.32
Sn4 0.0079 0.2654 0.0158  6 Pr 3.22-3.44, 2 Th 3.32
Th1 0.5000 0.0000 0.0000  6 Sn 3.32-3.41, 2 Pr 3.64



| no. | ρ (g/cm³) | magnetic moment (μB per atom) |
| --- | --- | --- |
| 1 | 5.6 | 0.5884 |
| 2 | 7.4 | 0.0000 |
| 3 | 12.4 | 0.7212 |
| 4 | 10.2 | 0.0000 |
| 5 | 12.9 | 0.0007 |
| 6 | 2.5 | 0.0001 |
| 7 | 7.1 | 0.6734 |
| 8 | 8.7 | 0.0000 |
| 9 | 4.4 | 0.7479 |
| 10 | 8.0 | 0.1734 |
| 11 | 1.9 | 0.9204 |
| 12 | 4.2 | 0.0000 |
| 13 | 11.4 | 0.4262 |
| 14 | 8.4 | 0.0000 |
| 15 | 6.2 | 0.0000 |
| 16 | 7.0 | 0.0000 |